1.
Here is crystalline Ca2GdAg at its relaxed geometry from Alexandria via LeMat-Bulk. Energies are from PBE.

```
Ca2GdAg
1.0
3.669 0.000 0.000
-1.835 3.178 0.000
0.000 0.000 34.400
Ca Gd Ag
6 3 3
Direct
0.000 0.000 0.101
0.000 0.000 0.899
0.333 0.667 0.566
0.333 0.667 0.768
0.667 0.333 0.232
0.667 0.333 0.434
0.000 0.000 0.000
0.333 0.667 0.667
0.667 0.333 0.333
0.000 0.000 0.500
0.333 0.667 0.167
0.667 0.333 0.833
```

Properties
E_tot = -5.087 eV per atom

---

2.
Here is crystalline CaGd2Ag at its relaxed geometry from Alexandria via LeMat-Bulk. Energies are from PBE.

```
CaGd2Ag
1.0
4.709 0.000 0.000
0.000 4.709 0.000
0.000 0.000 5.226
Ca Gd Ag
1 2 1
Direct
0.000 0.000 0.000
0.000 0.500 0.500
0.500 0.000 0.500
0.500 0.500 0.000
```

Properties
E_tot = -8.227 eV per atom

---

3.
Here is crystalline Ca2GdAg at its relaxed geometry from Alexandria via LeMat-Bulk. Energies are from PBE.

```
Ca2GdAg
1.0
3.663 0.000 0.000
0.000 3.663 0.000
0.000 0.000 9.344
Ca Gd Ag
2 1 1
Direct
0.000 0.000 0.202
0.000 0.000 0.798
0.500 0.500 0.500
0.500 0.500 0.000
```

Properties
E_tot = -5.320 eV per atom

---

4.
Here is crystalline CaGd2Ag at its relaxed geometry from Alexandria via LeMat-Bulk. Energies are from PBE.

```
CaGd2Ag
1.0
3.664 0.000 0.000
0.000 3.664 0.000
0.000 0.000 9.259
Ca Gd Ag
1 2 1
Direct
0.000 0.000 0.000
0.500 0.500 0.305
0.500 0.500 0.695
0.000 0.000 0.500
```

Properties
E_tot = -8.325 eV per atom

---

5.
Here is crystalline CaGdAg4 at its relaxed geometry from Alexandria via LeMat-Bulk. Energies are from PBE.

```
CaGdAg4
1.0
0.000 4.068 4.068
4.068 0.000 4.068
4.068 4.068 0.000
Ca Gd Ag
1 1 4
Direct
0.000 0.000 0.000
0.750 0.750 0.750
0.375 0.375 0.375
0.375 0.375 0.876
0.375 0.876 0.375
0.876 0.375 0.375
```

Properties
E_tot = -4.775 eV per atom

---

6.
Here is crystalline CaGd2Ag at its relaxed geometry from Alexandria via LeMat-Bulk. Energies are from PBE.

```
CaGd2Ag
1.0
3.697 0.000 0.000
-1.848 3.201 0.000
0.000 0.000 32.291
Ca Gd Ag
3 6 3
Direct
0.000 0.000 0.000
0.333 0.667 0.667
0.667 0.333 0.333
0.000 0.000 0.236
0.000 0.000 0.764
0.333 0.667 0.430
0.333 0.667 0.903
0.667 0.333 0.097
0.667 0.333 0.570
0.000 0.000 0.500
0.333 0.667 0.167
0.667 0.333 0.833
```

Properties
E_tot = -8.213 eV per atom

---

7.
Here is crystalline CaGdAgHg at its relaxed geometry from Alexandria via LeMat-Bulk. Energies are from PBE.

```
CaGdAgHg
1.0
7.442 0.000 0.000
0.000 7.442 0.000
0.000 0.000 7.442
Ca Gd Ag Hg
4 4 4 4
Direct
0.000 0.000 0.000
0.000 0.500 0.500
0.500 0.000 0.500
0.500 0.500 0.000
0.000 0.000 0.500
0.000 0.500 0.000
0.500 0.000 0.000
0.500 0.500 0.500
0.250 0.250 0.750
0.250 0.750 0.250
0.750 0.250 0.250
0.750 0.750 0.750
0.250 0.250 0.250
0.250 0.750 0.750
0.750 0.250 0.750
0.750 0.750 0.250
```

Properties
E_tot = -5.218 eV per atom

---

8.
Here is crystalline CaGdInAg at its relaxed geometry from Alexandria via LeMat-Bulk. Energies are from PBE.

```
CaGdInAg
1.0
7.511 0.000 0.000
0.000 7.511 0.000
0.000 0.000 7.511
Ca Gd In Ag
4 4 4 4
Direct
0.000 0.000 0.000
0.000 0.500 0.500
0.500 0.000 0.500
0.500 0.500 0.000
0.000 0.000 0.500
0.000 0.500 0.000
0.500 0.000 0.000
0.500 0.500 0.500
0.250 0.250 0.250
0.250 0.750 0.750
0.750 0.250 0.750
0.750 0.750 0.250
0.250 0.250 0.750
0.250 0.750 0.250
0.750 0.250 0.250
0.750 0.750 0.750
```

Properties
E_tot = -5.814 eV per atom

---

9.
Here is crystalline LiCaGdAg at its relaxed geometry from Alexandria via LeMat-Bulk. Energies are from PBE.

```
LiCaGdAg
1.0
7.442 0.000 0.000
0.000 7.442 0.000
0.000 0.000 7.442
Li Ca Gd Ag
4 4 4 4
Direct
0.000 0.000 0.000
0.000 0.500 0.500
0.500 0.000 0.500
0.500 0.500 0.000
0.250 0.250 0.750
0.250 0.750 0.250
0.750 0.250 0.250
0.750 0.750 0.750
0.250 0.250 0.250
0.250 0.750 0.750
0.750 0.250 0.750
0.750 0.750 0.250
0.000 0.000 0.500
0.000 0.500 0.000
0.500 0.000 0.000
0.500 0.500 0.500
```

Properties
E_tot = -5.314 eV per atom

---

10.
Here is crystalline CaGdMgAg at its relaxed geometry from Alexandria via LeMat-Bulk. Energies are from PBE.

```
CaGdMgAg
1.0
7.541 0.000 0.000
0.000 7.541 0.000
0.000 0.000 7.541
Ca Gd Mg Ag
4 4 4 4
Direct
0.000 0.000 0.000
0.000 0.500 0.500
0.500 0.000 0.500
0.500 0.500 0.000
0.000 0.000 0.500
0.000 0.500 0.000
0.500 0.000 0.000
0.500 0.500 0.500
0.250 0.250 0.750
0.250 0.750 0.250
0.750 0.250 0.250
0.750 0.750 0.750
0.250 0.250 0.250
0.250 0.750 0.750
0.750 0.250 0.750
0.750 0.750 0.250
```

Properties
E_tot = -5.277 eV per atom

---

11.
Here is crystalline CaGdNiAg at its relaxed geometry from Alexandria via LeMat-Bulk. Energies are from PBE.

```
CaGdNiAg
1.0
7.106 0.000 0.000
0.000 7.106 0.000
0.000 0.000 7.106
Ca Gd Ni Ag
4 4 4 4
Direct
0.000 0.000 0.000
0.000 0.500 0.500
0.500 0.000 0.500
0.500 0.500 0.000
0.000 0.000 0.500
0.000 0.500 0.000
0.500 0.000 0.000
0.500 0.500 0.500
0.250 0.250 0.750
0.250 0.750 0.250
0.750 0.250 0.250
0.750 0.750 0.750
0.250 0.250 0.250
0.250 0.750 0.750
0.750 0.250 0.750
0.750 0.750 0.250
```

Properties
E_tot = -6.377 eV per atom

---

12.
Here is crystalline CaGdAgPb at its relaxed geometry from Alexandria via LeMat-Bulk. Energies are from PBE.

```
CaGdAgPb
1.0
7.585 0.000 0.000
0.000 7.585 0.000
0.000 0.000 7.585
Ca Gd Ag Pb
4 4 4 4
Direct
0.000 0.000 0.000
0.000 0.500 0.500
0.500 0.000 0.500
0.500 0.500 0.000
0.000 0.000 0.500
0.000 0.500 0.000
0.500 0.000 0.000
0.500 0.500 0.500
0.250 0.250 0.250
0.250 0.750 0.750
0.750 0.250 0.750
0.750 0.750 0.250
0.250 0.250 0.750
0.250 0.750 0.250
0.750 0.250 0.250
0.750 0.750 0.750
```

Properties
E_tot = -6.120 eV per atom

---

13.
Here is crystalline CaGdAgPd at its relaxed geometry from Alexandria via LeMat-Bulk. Energies are from PBE.

```
CaGdAgPd
1.0
7.202 0.000 0.000
0.000 7.202 0.000
0.000 0.000 7.202
Ca Gd Ag Pd
4 4 4 4
Direct
0.000 0.000 0.000
0.000 0.500 0.500
0.500 0.000 0.500
0.500 0.500 0.000
0.000 0.000 0.500
0.000 0.500 0.000
0.500 0.000 0.000
0.500 0.500 0.500
0.250 0.250 0.750
0.250 0.750 0.250
0.750 0.250 0.250
0.750 0.750 0.750
0.250 0.250 0.250
0.250 0.750 0.750
0.750 0.250 0.750
0.750 0.750 0.250
```

Properties
E_tot = -6.549 eV per atom

---

14.
Here is crystalline CaGdAgPt at its relaxed geometry from Alexandria via LeMat-Bulk. Energies are from PBE.

```
CaGdAgPt
1.0
7.150 0.000 0.000
0.000 7.150 0.000
0.000 0.000 7.150
Ca Gd Ag Pt
4 4 4 4
Direct
0.000 0.000 0.000
0.000 0.500 0.500
0.500 0.000 0.500
0.500 0.500 0.000
0.000 0.000 0.500
0.000 0.500 0.000
0.500 0.000 0.000
0.500 0.500 0.500
0.250 0.250 0.250
0.250 0.750 0.750
0.750 0.250 0.750
0.750 0.750 0.250
0.250 0.250 0.750
0.250 0.750 0.250
0.750 0.250 0.250
0.750 0.750 0.750
```

Properties
E_tot = -6.926 eV per atom

---

15.
Here is crystalline CaGdAgRu at its relaxed geometry from Alexandria via LeMat-Bulk. Energies are from PBE.

```
CaGdAgRu
1.0
7.071 0.000 0.000
0.000 7.071 0.000
0.000 0.000 7.071
Ca Gd Ag Ru
4 4 4 4
Direct
0.000 0.000 0.000
0.000 0.500 0.500
0.500 0.000 0.500
0.500 0.500 0.000
0.000 0.000 0.500
0.000 0.500 0.000
0.500 0.000 0.000
0.500 0.500 0.500
0.250 0.250 0.250
0.250 0.750 0.750
0.750 0.250 0.750
0.750 0.750 0.250
0.250 0.250 0.750
0.250 0.750 0.250
0.750 0.250 0.250
0.750 0.750 0.750
```

Properties
E_tot = -7.176 eV per atom

---

16.
Here is crystalline CaGdTlAg at its relaxed geometry from Alexandria via LeMat-Bulk. Energies are from PBE.

```
CaGdTlAg
1.0
7.532 0.000 0.000
0.000 7.532 0.000
0.000 0.000 7.532
Ca Gd Tl Ag
4 4 4 4
Direct
0.000 0.000 0.000
0.000 0.500 0.500
0.500 0.000 0.500
0.500 0.500 0.000
0.000 0.000 0.500
0.000 0.500 0.000
0.500 0.000 0.000
0.500 0.500 0.500
0.250 0.250 0.250
0.250 0.750 0.750
0.750 0.250 0.750
0.750 0.750 0.250
0.250 0.250 0.750
0.250 0.750 0.250
0.750 0.250 0.250
0.750 0.750 0.750
```

Properties
E_tot = -5.687 eV per atom

---

17.
Here is crystalline CaGdZnAg at its relaxed geometry from Alexandria via LeMat-Bulk. Energies are from PBE.

```
CaGdZnAg
1.0
7.310 0.000 0.000
0.000 7.310 0.000
0.000 0.000 7.310
Ca Gd Zn Ag
4 4 4 4
Direct
0.000 0.000 0.000
0.000 0.500 0.500
0.500 0.000 0.500
0.500 0.500 0.000
0.000 0.000 0.500
0.000 0.500 0.000
0.500 0.000 0.000
0.500 0.500 0.500
0.250 0.250 0.750
0.250 0.750 0.250
0.750 0.250 0.250
0.750 0.750 0.750
0.250 0.250 0.250
0.250 0.750 0.750
0.750 0.250 0.750
0.750 0.750 0.250
```

Properties
E_tot = -5.337 eV per atom

---

18.
Here is crystalline CaAg2Ge at its relaxed geometry from Alexandria via LeMat-Bulk. Energies are from PBE.

```
CaAg2Ge
1.0
10.463 0.000 0.000
0.000 4.582 0.000
-0.849 0.000 7.136
Ca Ag Ge
4 8 4
Direct
0.000 0.000 0.000
0.194 0.500 0.682
0.500 0.500 0.000
0.694 0.000 0.682
0.003 0.500 0.313
0.225 0.000 0.377
0.296 0.000 0.998
0.469 0.500 0.532
0.503 0.000 0.313
0.725 0.500 0.377
0.796 0.500 0.998
0.969 0.000 0.532
0.216 0.500 0.149
0.400 0.000 0.686
0.716 0.000 0.149
0.900 0.500 0.686
```

Properties
E_tot = -3.364 eV per atom

---

19.
Here is crystalline Ca2AgGe2 at its relaxed geometry from Alexandria via LeMat-Bulk. Energies are from PBE.

```
Ca2AgGe2
1.0
7.222 0.000 0.000
0.000 7.222 0.000
0.000 0.000 4.491
Ca Ag Ge
4 2 4
Direct
0.170 0.330 0.000
0.330 0.830 0.000
0.670 0.170 0.000
0.830 0.670 0.000
0.000 0.000 0.500
0.500 0.500 0.500
0.129 0.629 0.500
0.371 0.129 0.500
0.629 0.871 0.500
0.871 0.371 0.500
```

Properties
E_tot = -3.709 eV per atom

---

20.
Here is crystalline Ca3Ag4Ge4 at its relaxed geometry from Alexandria via LeMat-Bulk. Energies are from PBE.

```
Ca3Ag4Ge4
1.0
-2.212 3.660 7.297
2.212 -3.660 7.297
2.212 3.660 -7.297
Ca Ag Ge
3 4 4
Direct
0.000 0.000 0.000
0.374 0.874 0.500
0.626 0.126 0.500
0.026 0.330 0.696
0.366 0.670 0.696
0.634 0.330 0.304
0.974 0.670 0.304
0.220 0.220 0.000
0.325 0.500 0.825
0.675 0.500 0.175
0.780 0.780 0.000
```

Properties
E_tot = -3.639 eV per atom

---

21.
Here is crystalline Ca2Ag5Ge3 at its relaxed geometry from Alexandria via LeMat-Bulk. Energies are from PBE.

```
Ca2Ag5Ge3
1.0
4.311 0.000 0.000
0.000 4.311 0.000
0.000 0.000 11.792
Ca Ag Ge
2 5 3
Direct
0.000 0.500 0.245
0.500 0.000 0.755
0.000 0.000 0.500
0.000 0.500 0.651
0.500 0.000 0.349
0.500 0.500 0.000
0.500 0.500 0.500
0.000 0.000 0.000
0.000 0.500 0.865
0.500 0.000 0.135
```

Properties
E_tot = -3.380 eV per atom

---

22.
Here is crystalline Ca3Ag2Ge4 at its relaxed geometry from Alexandria via LeMat-Bulk. Energies are from PBE.

```
Ca3Ag2Ge4
1.0
5.556 -2.201 0.000
5.556 2.201 0.000
-2.379 0.000 8.317
Ca Ag Ge
3 2 4
Direct
0.000 0.000 0.000
0.375 0.375 0.304
0.625 0.625 0.696
0.315 0.315 0.645
0.685 0.685 0.355
0.077 0.077 0.415
0.289 0.289 0.942
0.711 0.711 0.058
0.923 0.923 0.585
```

Properties
E_tot = -3.811 eV per atom

---

23.
Here is crystalline CaAg2Ge at its relaxed geometry from Alexandria via LeMat-Bulk. Energies are from PBE.

```
CaAg2Ge
1.0
3.206 0.000 0.000
-1.603 2.777 0.000
0.000 0.000 30.979
Ca Ag Ge
3 6 3
Direct
0.000 0.000 0.000
0.333 0.667 0.667
0.667 0.333 0.333
0.000 0.000 0.096
0.000 0.000 0.904
0.333 0.667 0.571
0.333 0.667 0.763
0.667 0.333 0.237
0.667 0.333 0.429
0.000 0.000 0.500
0.333 0.667 0.167
0.667 0.333 0.833
```

Properties
E_tot = -2.736 eV per atom

---

24.
Here is crystalline Ca4AgGe2 at its relaxed geometry from Alexandria via LeMat-Bulk. Energies are from PBE.

```
Ca4AgGe2
1.0
2.659 -4.526 0.000
2.659 4.526 0.000
0.000 0.000 15.985
Ca Ag Ge
8 2 4
Direct
0.000 0.000 0.000
0.000 0.000 0.500
0.292 0.708 0.625
0.292 0.708 0.875
0.381 0.619 0.250
0.619 0.381 0.750
0.708 0.292 0.125
0.708 0.292 0.375
0.046 0.954 0.250
0.954 0.046 0.750
0.389 0.611 0.061
0.389 0.611 0.439
0.611 0.389 0.561
0.611 0.389 0.939
```

Properties
E_tot = -3.271 eV per atom

---

25.
Here is crystalline CaAg2Ge at its relaxed geometry from Alexandria via LeMat-Bulk. Energies are from PBE.

```
CaAg2Ge
1.0
5.194 0.000 0.000
0.217 5.857 0.000
0.998 0.746 5.893
Ca Ag Ge
2 4 2
Direct
0.044 0.280 0.276
0.956 0.720 0.724
0.336 0.811 0.098
0.500 0.000 0.500
0.500 0.500 0.500
0.664 0.189 0.902
0.183 0.218 0.779
0.817 0.782 0.221
```

Properties
E_tot = -3.342 eV per atom

---

26.
Here is crystalline CaAg2Ge at its relaxed geometry from Alexandria via LeMat-Bulk. Energies are from PBE.

```
CaAg2Ge
1.0
4.599 0.000 0.000
0.000 7.155 0.000
-2.261 0.000 5.159
Ca Ag Ge
2 4 2
Direct
0.089 0.000 0.175
0.911 0.500 0.825
0.208 0.474 0.418
0.393 0.170 0.786
0.607 0.670 0.214
0.792 0.974 0.582
0.362 0.791 0.724
0.638 0.291 0.276
```

Properties
E_tot = -3.381 eV per atom

---

27.
Here is crystalline CaAg2Ge at its relaxed geometry from Alexandria via LeMat-Bulk. Energies are from PBE.

```
CaAg2Ge
1.0
4.416 0.000 0.000
0.000 4.416 0.000
0.000 0.000 4.290
Ca Ag Ge
1 2 1
Direct
0.000 0.000 0.000
0.000 0.500 0.500
0.500 0.000 0.500
0.500 0.500 0.000
```

Properties
E_tot = -3.233 eV per atom